# DyTmNi2 (PBE, relaxed)
data_DyTmNi2
_chemical_formula_sum 'Dy2 Tm2 Ni4'
_symmetry_space_group_name_H-M 'A m m 2'
_symmetry_Int_Tables_number 38
_symmetry_space_group_name_Hall 'A 2 -2'
_cell_length_a 4.162
_cell_length_b 3.719
_cell_length_c 10.105
_cell_angle_alpha 90.00
_cell_angle_beta 90.00
_cell_angle_gamma 90.00
loop_
_atom_site_label
_atom_site_type_symbol
_atom_site_fract_x
_atom_site_fract_y
_atom_site_fract_z
_atom_site_occupancy
Dy1 Dy 0.000 0.000 0.000 1
Tm1 Tm 0.500 0.000 0.279 1
Ni1 Ni 0.000 0.000 0.714 1
Ni2 Ni 0.500 0.000 0.569 1
# Offset from the most stable computed form in eV per formula unit: 0.00
# Total DFT energy (no corrections) in eV per atom: -5.639
# E_form in eV per formula unit: -1.92

# Dy12TmNi6 (PBE, relaxed)
data_Dy12TmNi6
_chemical_formula_sum 'Dy24 Tm2 Ni12'
_symmetry_space_group_name_H-M 'I m -3'
_symmetry_Int_Tables_number 204
_symmetry_space_group_name_Hall '-I 2 2 3'
_cell_length_a 9.824
_cell_length_b 9.824
_cell_length_c 9.824
_cell_angle_alpha 90.00
_cell_angle_beta 90.00
_cell_angle_gamma 90.00
loop_
_atom_site_label
_atom_site_type_symbol
_atom_site_fract_x
_atom_site_fract_y
_atom_site_fract_z
_atom_site_occupancy
Dy1 Dy 0.000 0.184 0.311 1
Tm1 Tm 0.000 0.000 0.000 1
Ni1 Ni 0.000 0.377 0.500 1
# Total DFT energy (no corrections) in eV per atom: -5.208
# E_form in eV per formula unit: -4.57

- Among the records above, which one has the lowest total DFT energy (no corrections)?
  DyTmNi2

- Which value of total DFT energy (no corrections) does entry 1 give?
  -5.639 eV per atom